## Nd2CdHPd6 (PBE-GGA)

Data for a relaxed Nd2CdHPd6 crystal.

## Properties
The calculation puts the total energy at -5.062 eV per atom.

The structure in CIF format:
```
data_Nd2CdHPd6
_chemical_formula_sum 'Nd2 Cd1 H1 Pd6'
_cell_length_a 5.773
_cell_length_b 5.776
_cell_length_c 7.208
_cell_angle_alpha 66.60
_cell_angle_beta 66.56
_cell_angle_gamma 60.12
_symmetry_space_group_name_H-M 'P -1'
_symmetry_Int_Tables_number 2
loop_
_symmetry_equiv_pos_as_xyz
'x,y,z'
'-x,-y,-z'
loop_
_atom_site_label
_atom_site_type_symbol
_atom_site_fract_x
_atom_site_fract_y
_atom_site_fract_z
_atom_site_occupancy
Nd1 Nd 0.235 0.237 0.298 1
Cd1 Cd 0.500 0.500 0.500 1
H1 H 0.000 0.000 0.000 1
Pd1 Pd 0.222 0.722 0.828 1
Pd2 Pd 0.224 0.222 0.821 1
Pd3 Pd 0.275 0.779 0.173 1
```

---

## NdCdH6Rh2 (PBE-GGA)

Data for a relaxed NdCdH6Rh2 crystal.

## Properties
The calculation puts the total energy at -4.339 eV per atom.

The structure in CIF format:
```
data_NdCdH6Rh2
_chemical_formula_sum 'Nd4 Cd4 H24 Rh8'
_cell_length_a 7.412
_cell_length_b 12.122
_cell_length_c 4.650
_cell_angle_alpha 90.00
_cell_angle_beta 93.44
_cell_angle_gamma 90.00
_symmetry_space_group_name_H-M 'C 1 2/c 1'
_symmetry_Int_Tables_number 15
loop_
_symmetry_equiv_pos_as_xyz
'x,y,z'
'-x,-y,-z'
'-x,y,-z+1/2'
'x,-y,z+1/2'
'x+1/2,y+1/2,z'
'-x+1/2,-y+1/2,-z'
'-x+1/2,y+1/2,-z+1/2'
'x+1/2,-y+1/2,z+1/2'
loop_
_atom_site_label
_atom_site_type_symbol
_atom_site_fract_x
_atom_site_fract_y
_atom_site_fract_z
_atom_site_occupancy
Nd1 Nd 0.000 0.156 0.250 1
Cd1 Cd 0.000 0.393 0.750 1
H1 H 0.141 0.182 0.802 1
H2 H 0.166 0.003 0.982 1
H3 H 0.167 0.312 0.470 1
Rh1 Rh 0.214 0.416 0.263 1
```

---

## Nd2CdH12Rh3 (PBE-GGA)

Data for a relaxed Nd2CdH12Rh3 crystal.

## Properties
The calculation puts the total energy at -4.263 eV per atom.

The structure in CIF format:
```
data_Nd2CdH12Rh3
_chemical_formula_sum 'Nd6 Cd3 H36 Rh9'
_cell_length_a 6.3563
_cell_length_b 6.3563
_cell_length_c 14.5342
_cell_angle_alpha 90.00
_cell_angle_beta 90.00
_cell_angle_gamma 120.00
_symmetry_space_group_name_H-M 'R -3 m'
_symmetry_Int_Tables_number 166
_symmetry_space_group_name_Hall '-R 3 2"'
loop_
_atom_site_label
_atom_site_type_symbol
_atom_site_fract_x
_atom_site_fract_y
_atom_site_fract_z
_atom_site_occupancy
Nd1 Nd 0.0000 0.0000 0.1154 1
Cd1 Cd 0.0000 0.0000 0.5000 1
H1 H 0.0220 0.5110 0.8848 1
H2 H 0.0276 0.5138 0.3342 1
Rh1 Rh 0.0000 0.5000 0.0000 1
```

---

## CdNi7H12 (PBE-GGA)

Data for a relaxed CdNi7H12 crystal.

## Properties
The calculation puts the total energy at -4.027 eV per atom.

The structure in CIF format:
```
data_CdNi7H12
_chemical_formula_sum 'Cd3 Ni21 H36'
_cell_length_a 6.8884
_cell_length_b 6.8884
_cell_length_c 9.9040
_cell_angle_alpha 90.00
_cell_angle_beta 90.00
_cell_angle_gamma 120.00
_symmetry_space_group_name_H-M 'R -3'
_symmetry_Int_Tables_number 148
_symmetry_space_group_name_Hall '-R 3'
loop_
_atom_site_label
_atom_site_type_symbol
_atom_site_fract_x
_atom_site_fract_y
_atom_site_fract_z
_atom_site_occupancy
Cd1 Cd 0.0000 0.0000 0.0000 1
Ni1 Ni 0.0000 0.0000 0.5000 1
Ni2 Ni 0.0086 0.2241 0.7428 1
H1 H 0.0015 0.7863 0.8267 1
H2 H 0.0120 0.1806 0.3770 1
```

---

## CdNi4H7 (PBE-GGA)

Data for a relaxed CdNi4H7 crystal.

## Properties
The calculation puts the total energy at -3.919 eV per atom.

The structure in CIF format:
```
data_CdNi4H7
_chemical_formula_sum 'Cd2 Ni8 H14'
_cell_length_a 3.498
_cell_length_b 9.951
_cell_length_c 5.370
_cell_angle_alpha 90.00
_cell_angle_beta 90.00
_cell_angle_gamma 90.00
_symmetry_space_group_name_H-M 'P m m n'
_symmetry_Int_Tables_number 59
loop_
_symmetry_equiv_pos_as_xyz
'x,y,z'
'-x,-y,-z'
'-x+1/2,-y+1/2,z'
'x+1/2,y+1/2,-z'
'x+1/2,-y,-z'
'-x+1/2,y,z'
'-x,y+1/2,-z'
'x,-y+1/2,z'
loop_
_atom_site_label
_atom_site_type_symbol
_atom_site_fract_x
_atom_site_fract_y
_atom_site_fract_z
_atom_site_occupancy
Cd1 Cd 0.250 0.250 0.071 1
Ni1 Ni 0.250 0.549 0.135 1
Ni2 Ni 0.250 0.587 0.610 1
H1 H 0.250 0.029 0.853 1
H2 H 0.250 0.051 0.396 1
H3 H 0.250 0.660 0.344 1
H4 H 0.250 0.750 0.629 1
```

---

## CdNi3H3 (PBE-GGA)

Data for a relaxed CdNi3H3 crystal.

## Properties
The calculation puts the total energy at -4.077 eV per atom.

The structure in CIF format:
```
data_CdNi3H3
_chemical_formula_sum 'Cd2 Ni6 H6'
_cell_length_a 4.949
_cell_length_b 4.949
_cell_length_c 4.949
_cell_angle_alpha 90.00
_cell_angle_beta 90.00
_cell_angle_gamma 90.00
_symmetry_space_group_name_H-M 'P m -3 n'
_symmetry_Int_Tables_number 223
_symmetry_space_group_name_Hall '-P 4n 2 3'
loop_
_atom_site_label
_atom_site_type_symbol
_atom_site_fract_x
_atom_site_fract_y
_atom_site_fract_z
_atom_site_occupancy
Cd1 Cd 0.000 0.000 0.000 1
Ni1 Ni 0.000 0.250 0.500 1
H1 H 0.000 0.500 0.250 1
```

---

## Cd2NiH (PBE-GGA)

Data for a relaxed Cd2NiH crystal.

## Properties
The distance to the lowest polymorph of the same formula comes out at 323 meV/atom.

The structure in CIF format:
```
data_Cd2NiH
_chemical_formula_sum 'Cd8 Ni4 H4'
_cell_length_a 6.420
_cell_length_b 6.420
_cell_length_c 5.728
_cell_angle_alpha 90.00
_cell_angle_beta 90.00
_cell_angle_gamma 90.00
_symmetry_space_group_name_H-M 'I -4 2 d'
_symmetry_Int_Tables_number 122
_symmetry_space_group_name_Hall 'I -4 2bw'
loop_
_atom_site_label
_atom_site_type_symbol
_atom_site_fract_x
_atom_site_fract_y
_atom_site_fract_z
_atom_site_occupancy
Cd1 Cd 0.188 0.250 0.125 1
Ni1 Ni 0.000 0.000 0.500 1
H1 H 0.000 0.000 0.000 1
```

---

## Cd2Ni2H (PBE-GGA)

Data for a relaxed Cd2Ni2H crystal.

## Properties
The calculation puts the total energy at -3.096 eV per atom.

The structure in CIF format:
```
data_Cd2Ni2H
_chemical_formula_sum 'Cd4 Ni4 H2'
_cell_length_a 5.445
_cell_length_b 5.445
_cell_length_c 4.572
_cell_angle_alpha 90.00
_cell_angle_beta 90.00
_cell_angle_gamma 90.00
_symmetry_space_group_name_H-M 'P 4/m b m'
_symmetry_Int_Tables_number 127
_symmetry_space_group_name_Hall '-P 4 2ab'
loop_
_atom_site_label
_atom_site_type_symbol
_atom_site_fract_x
_atom_site_fract_y
_atom_site_fract_z
_atom_site_occupancy
Cd1 Cd 0.173 0.327 0.000 1
Ni1 Ni 0.167 0.667 0.500 1
H1 H 0.000 0.000 0.500 1
```

---

## Cd2NiH (PBE-GGA)

Data for a relaxed Cd2NiH crystal.

## Properties
The distance to the lowest polymorph of the same formula comes out at 473 meV/atom.

The structure in CIF format:
```
data_Cd2NiH
_chemical_formula_sum 'Cd8 Ni4 H4'
_cell_length_a 6.238
_cell_length_b 6.238
_cell_length_c 6.238
_cell_angle_alpha 90.00
_cell_angle_beta 90.00
_cell_angle_gamma 90.00
_symmetry_space_group_name_H-M 'F m -3 m'
_symmetry_Int_Tables_number 225
_symmetry_space_group_name_Hall '-F 4 2 3'
loop_
_atom_site_label
_atom_site_type_symbol
_atom_site_fract_x
_atom_site_fract_y
_atom_site_fract_z
_atom_site_occupancy
Cd1 Cd 0.250 0.250 0.250 1
Ni1 Ni 0.000 0.000 0.000 1
H1 H 0.000 0.000 0.500 1
```

---

## CdNiH3 (PBE-GGA)

Data for a relaxed CdNiH3 crystal.

## Properties
The calculation puts the total energy at -3.231 eV per atom.

The structure in CIF format:
```
data_CdNiH3
_chemical_formula_sum 'Cd4 Ni4 H12'
_cell_length_a 8.148
_cell_length_b 4.115
_cell_length_c 6.072
_cell_angle_alpha 90.00
_cell_angle_beta 101.23
_cell_angle_gamma 90.00
_symmetry_space_group_name_H-M 'P 1 21/c 1'
_symmetry_Int_Tables_number 14
loop_
_symmetry_equiv_pos_as_xyz
'x,y,z'
'-x,-y,-z'
'-x,y+1/2,-z+1/2'
'x,-y+1/2,z+1/2'
loop_
_atom_site_label
_atom_site_type_symbol
_atom_site_fract_x
_atom_site_fract_y
_atom_site_fract_z
_atom_site_occupancy
Cd1 Cd 0.125 0.128 0.226 1
Ni1 Ni 0.438 0.242 0.083 1
H1 H 0.259 0.088 0.563 1
H2 H 0.386 0.582 0.444 1
H3 H 0.438 0.067 0.333 1
```

---

## CdNiH2 (PBE-GGA)

Data for a relaxed CdNiH2 crystal.

## Properties
The calculation puts the total energy at -3.264 eV per atom.

The structure in CIF format:
```
data_CdNiH2
_chemical_formula_sum 'Cd3 Ni3 H6'
_cell_length_a 2.7748
_cell_length_b 2.7748
_cell_length_c 18.8546
_cell_angle_alpha 90.00
_cell_angle_beta 90.00
_cell_angle_gamma 120.00
_symmetry_space_group_name_H-M 'R -3 m'
_symmetry_Int_Tables_number 166
_symmetry_space_group_name_Hall '-R 3 2"'
loop_
_atom_site_label
_atom_site_type_symbol
_atom_site_fract_x
_atom_site_fract_y
_atom_site_fract_z
_atom_site_occupancy
Cd1 Cd 0.0000 0.0000 0.0000 1
Ni1 Ni 0.0000 0.0000 0.5000 1
H1 H 0.0000 0.0000 0.2017 1
```

---

## Cd3Ni12H5 (PBE-GGA)

Data for a relaxed Cd3Ni12H5 crystal.

## Properties
The calculation puts the total energy at -4.251 eV per atom.

The structure in CIF format:
```
data_Cd3Ni12H5
_chemical_formula_sum 'Cd24 Ni96 H40'
_cell_length_a 12.058
_cell_length_b 12.058
_cell_length_c 12.058
_cell_angle_alpha 90.00
_cell_angle_beta 90.00
_cell_angle_gamma 90.00
_symmetry_space_group_name_H-M 'I a -3 d'
_symmetry_Int_Tables_number 230
_symmetry_space_group_name_Hall '-I 4bd 2c 3'
loop_
_atom_site_label
_atom_site_type_symbol
_atom_site_fract_x
_atom_site_fract_y
_atom_site_fract_z
_atom_site_occupancy
Cd1 Cd 0.000 0.250 0.125 1
Ni1 Ni 0.042 0.139 0.942 1
H1 H 0.000 0.000 0.000 1
H2 H 0.000 0.250 0.375 1
```

---

| no. | total magnetic moment (μB/cell) |
| --- | --- |
| 1 | 0.0 |
| 2 | 0.0 |
| 3 | 0.2 |
| 4 | 0.0 |
| 5 | 0.0 |
| 6 | 0.0 |
| 7 | 0.0 |
| 8 | 0.0 |
| 9 | 0.2 |
| 10 | 0.0 |
| 11 | 0.0 |
| 12 | 0.0 |